Here is a relaxed structure of CuRe2Au from the Alexandria database. Energies are from PBEsol.

Computed properties:
Crystal system: orthorhombic
Density of states at the Fermi level (states/eV per atom): 0.6386
Magnetic moment (μB per cell): 0.0
Energy of formation (meV/atom): 328
Polymorph energy (0 for the lowest one) (meV/atom): 74
Space group: Cmm2

Geometry as CIF:
```
data_CuRe2Au
_cell_length_a 2.678
_cell_length_b 2.678
_cell_length_c 9.039
_cell_angle_alpha 90.00
_cell_angle_beta 90.00
_cell_angle_gamma 114.33
_symmetry_space_group_name_H-M 'P 1'
_symmetry_Int_Tables_number 1
loop_
_symmetry_equiv_pos_as_xyz
'x,y,z'
loop_
_atom_site_label
_atom_site_fract_x
_atom_site_fract_y
_atom_site_fract_z
_atom_site_occupancy
Au1 0.000 0.000 0.488 1
Cu1 0.500 0.500 0.244 1
Re1 0.000 0.000 0.003 1
Re2 0.500 0.500 0.765 1
```

***

Here is a relaxed structure of BePtRh2 from the Alexandria database. Energies are from PBEsol.

Computed properties:
Crystal system: monoclinic
Density of states at the Fermi level (states/eV per atom): 0.9199
Magnetic moment (μB per cell): 0.0
Energy of formation (meV/atom): -177
Space group: P2/m

Geometry as CIF:
```
data_BePtRh2
_cell_length_a 2.710
_cell_length_b 3.889
_cell_length_c 4.963
_cell_angle_alpha 90.00
_cell_angle_beta 102.83
_cell_angle_gamma 90.00
_symmetry_space_group_name_H-M 'P 1'
_symmetry_Int_Tables_number 1
loop_
_symmetry_equiv_pos_as_xyz
'x,y,z'
loop_
_atom_site_label
_atom_site_fract_x
_atom_site_fract_y
_atom_site_fract_z
_atom_site_occupancy
Be1 0.500 0.500 0.000 1
Rh1 0.130 0.000 0.769 1
Rh2 0.870 0.000 0.231 1
Pt1 0.500 0.500 0.500 1
```

***

Here is a relaxed structure of Sc2TlMo from the Alexandria database. Energies are from PBEsol.

Computed properties:
Crystal system: tetragonal
Density of states at the Fermi level (states/eV per atom): 0.8270
Magnetic moment (μB per cell): 0.0
Energy of formation (meV/atom): 123
Polymorph energy (0 for the lowest one) (meV/atom): 0
Space group: P4mm

Geometry as CIF:
```
data_Sc2TlMo
_cell_length_a 3.615
_cell_length_b 3.615
_cell_length_c 6.102
_cell_angle_alpha 90.00
_cell_angle_beta 90.00
_cell_angle_gamma 90.00
_symmetry_space_group_name_H-M 'P 1'
_symmetry_Int_Tables_number 1
loop_
_symmetry_equiv_pos_as_xyz
'x,y,z'
loop_
_atom_site_label
_atom_site_fract_x
_atom_site_fract_y
_atom_site_fract_z
_atom_site_occupancy
Mo1 0.500 0.500 0.776 1
Sc1 0.000 0.000 0.968 1
Sc2 0.500 0.500 0.251 1
Tl1 0.000 0.000 0.505 1
```

***

Here is a relaxed structure of Y2MnNiO6 from the Alexandria database. Energies are from PBEsol.

Computed properties:
Crystal system: monoclinic
Raw formation energy (eV per atom): -2.52
Magnetic moment (μB per cell): 10.0
Space group: P2_1/c

Geometry as CIF:
```
data_Y2MnNiO6
_cell_length_a 5.162
_cell_length_b 5.517
_cell_length_c 7.407
_cell_angle_alpha 90.00
_cell_angle_beta 89.43
_cell_angle_gamma 90.00
_symmetry_space_group_name_H-M 'P 1'
_symmetry_Int_Tables_number 1
loop_
_symmetry_equiv_pos_as_xyz
'x,y,z'
loop_
_atom_site_label
_atom_site_fract_x
_atom_site_fract_y
_atom_site_fract_z
_atom_site_occupancy
Y1 0.980 0.926 0.249 1
Y2 0.520 0.426 0.251 1
Y3 0.020 0.074 0.751 1
Y4 0.480 0.574 0.749 1
Mn1 0.000 0.500 0.500 1
Mn2 0.500 0.000 0.000 1
Ni1 0.000 0.500 0.000 1
Ni2 0.500 0.000 0.500 1
O1 0.699 0.689 0.450 1
O2 0.801 0.189 0.050 1
O3 0.301 0.311 0.550 1
O4 0.199 0.811 0.950 1
O5 0.684 0.706 0.054 1
O6 0.816 0.206 0.446 1
O7 0.316 0.294 0.946 1
O8 0.184 0.794 0.554 1
O9 0.604 0.969 0.755 1
O10 0.896 0.469 0.745 1
O11 0.396 0.031 0.245 1
O12 0.104 0.531 0.255 1
```

***

Here is a relaxed structure of Re2HgCl from the Alexandria database. Energies are from PBEsol.

Computed properties:
Crystal system: orthorhombic
Density of states at the Fermi level (states/eV per atom): 0.9323
Raw formation energy (eV per atom): 1.06
Magnetic moment (μB per cell): 0.0
Polymorph energy (0 for the lowest one) (meV/atom): 817
Space group: Pmmm

Geometry as CIF:
```
data_Re2HgCl
_cell_length_a 2.783
_cell_length_b 4.835
_cell_length_c 4.912
_cell_angle_alpha 90.00
_cell_angle_beta 90.00
_cell_angle_gamma 90.00
_symmetry_space_group_name_H-M 'P 1'
_symmetry_Int_Tables_number 1
loop_
_symmetry_equiv_pos_as_xyz
'x,y,z'
loop_
_atom_site_label
_atom_site_fract_x
_atom_site_fract_y
_atom_site_fract_z
_atom_site_occupancy
Re1 0.000 0.000 0.000 1
Re2 0.500 0.000 0.500 1
Hg1 0.000 0.500 0.500 1
Cl1 0.500 0.500 0.000 1
```

***

Here is a relaxed structure of Ta2SbCl from the Alexandria database. Energies are from PBEsol.

Computed properties:
Crystal system: tetragonal
Density of states at the Fermi level (states/eV per atom): 0.6693
Raw formation energy (eV per atom): 0.01
Magnetic moment (μB per cell): 0.0
Polymorph energy (0 for the lowest one) (meV/atom): 267
Space group: P4mm

Geometry as CIF:
```
data_Ta2SbCl
_cell_length_a 3.347
_cell_length_b 3.347
_cell_length_c 7.636
_cell_angle_alpha 90.00
_cell_angle_beta 90.00
_cell_angle_gamma 90.00
_symmetry_space_group_name_H-M 'P 1'
_symmetry_Int_Tables_number 1
loop_
_symmetry_equiv_pos_as_xyz
'x,y,z'
loop_
_atom_site_label
_atom_site_fract_x
_atom_site_fract_y
_atom_site_fract_z
_atom_site_occupancy
Sb1 0.500 0.500 0.815 1
Cl1 0.000 0.000 0.449 1
Ta1 0.000 0.000 0.023 1
Ta2 0.500 0.500 0.214 1
```

***

Here is a relaxed structure of BaGePt from the Alexandria database. Energies are from PBEsol.

Computed properties:
Crystal system: cubic
Density of states at the Fermi level (states/eV per atom): 0.2484
Magnetic moment (μB per cell): 0.0
Energy of formation (meV/atom): -887
Space group: P2_13

Geometry as CIF:
```
data_BaGePt
_cell_length_a 6.744
_cell_length_b 6.744
_cell_length_c 6.744
_cell_angle_alpha 90.00
_cell_angle_beta 90.00
_cell_angle_gamma 90.00
_symmetry_space_group_name_H-M 'P 1'
_symmetry_Int_Tables_number 1
loop_
_symmetry_equiv_pos_as_xyz
'x,y,z'
loop_
_atom_site_label
_atom_site_fract_x
_atom_site_fract_y
_atom_site_fract_z
_atom_site_occupancy
Ba1 0.136 0.136 0.136 1
Ba2 0.636 0.364 0.864 1
Ba3 0.364 0.864 0.636 1
Ba4 0.864 0.636 0.364 1
Ge1 0.342 0.658 0.158 1
Ge2 0.158 0.342 0.658 1
Ge3 0.658 0.158 0.342 1
Ge4 0.842 0.842 0.842 1
Pt1 0.410 0.410 0.410 1
Pt2 0.090 0.590 0.910 1
Pt3 0.910 0.090 0.590 1
Pt4 0.590 0.910 0.090 1
```

***

Here is a relaxed structure of ScCoRe3 from the Alexandria database. Energies are from PBEsol.

Computed properties:
Crystal system: cubic
Density of states at the Fermi level (states/eV per atom): 1.3647
Magnetic moment (μB per cell): 1.2
Energy of formation (meV/atom): 2774
Space group: Pm-3m

Geometry as CIF:
```
data_ScCoRe3
_cell_length_a 4.452
_cell_length_b 4.452
_cell_length_c 4.452
_cell_angle_alpha 90.00
_cell_angle_beta 90.00
_cell_angle_gamma 90.00
_symmetry_space_group_name_H-M 'P 1'
_symmetry_Int_Tables_number 1
loop_
_symmetry_equiv_pos_as_xyz
'x,y,z'
loop_
_atom_site_label
_atom_site_fract_x
_atom_site_fract_y
_atom_site_fract_z
_atom_site_occupancy
Sc1 0.000 0.000 0.000 1
Re1 0.000 0.500 0.000 1
Re2 0.000 0.000 0.500 1
Re3 0.500 0.000 0.000 1
Co1 0.500 0.500 0.500 1
```

***

Here is a relaxed structure of Mg2ScTa from the Alexandria database. Energies are from PBEsol.

Computed properties:
Crystal system: monoclinic
Density of states at the Fermi level (states/eV per atom): 1.0886
Magnetic moment (μB per cell): 0.0
Energy of formation (meV/atom): 268
Polymorph energy (0 for the lowest one) (meV/atom): 12
Space group: P2/m

Geometry as CIF:
```
data_Mg2ScTa
_cell_length_a 2.806
_cell_length_b 5.186
_cell_length_c 5.552
_cell_angle_alpha 90.00
_cell_angle_beta 96.28
_cell_angle_gamma 90.00
_symmetry_space_group_name_H-M 'P 1'
_symmetry_Int_Tables_number 1
loop_
_symmetry_equiv_pos_as_xyz
'x,y,z'
loop_
_atom_site_label
_atom_site_fract_x
_atom_site_fract_y
_atom_site_fract_z
_atom_site_occupancy
Mg1 0.746 0.000 0.739 1
Mg2 0.254 0.000 0.261 1
Sc1 0.500 0.500 0.000 1
Ta1 0.000 0.500 0.500 1
```

***

Here is a relaxed structure of MnTe2Os from the Alexandria database. Energies are from PBEsol.

Computed properties:
Crystal system: trigonal
Density of states at the Fermi level (states/eV per atom): 0.5161
Raw formation energy (eV per atom): 0.51
Magnetic moment (μB per cell): 4.9
Space group: R-3m

Geometry as CIF:
```
data_MnTe2Os
_cell_length_a 4.042
_cell_length_b 4.042
_cell_length_c 6.386
_cell_angle_alpha 71.55
_cell_angle_beta 71.55
_cell_angle_gamma 60.00
_symmetry_space_group_name_H-M 'P 1'
_symmetry_Int_Tables_number 1
loop_
_symmetry_equiv_pos_as_xyz
'x,y,z'
loop_
_atom_site_label
_atom_site_fract_x
_atom_site_fract_y
_atom_site_fract_z
_atom_site_occupancy
Mn1 0.500 0.500 0.500 1
Os1 0.000 0.000 0.000 1
Te1 0.741 0.741 0.777 1
Te2 0.259 0.259 0.223 1
```

***

Here is a relaxed structure of SbPO2F6 from the Alexandria database. Energies are from PBEsol.

Computed properties:
Crystal system: triclinic
Density of states at the Fermi level (states/eV per atom): 0.0000
Raw formation energy (eV per atom): -2.30
Magnetic moment (μB per cell): 0.0
Space group: P-1

Geometry as CIF:
```
data_SbPO2F6
_cell_length_a 5.730
_cell_length_b 7.434
_cell_length_c 7.451
_cell_angle_alpha 87.82
_cell_angle_beta 75.09
_cell_angle_gamma 82.92
_symmetry_space_group_name_H-M 'P 1'
_symmetry_Int_Tables_number 1
loop_
_symmetry_equiv_pos_as_xyz
'x,y,z'
loop_
_atom_site_label
_atom_site_fract_x
_atom_site_fract_y
_atom_site_fract_z
_atom_site_occupancy
F1 0.656 0.921 0.238 1
F2 0.344 0.079 0.762 1
F3 0.161 0.641 0.216 1
F4 0.839 0.359 0.784 1
F5 0.263 0.818 0.499 1
F6 0.737 0.182 0.501 1
F7 0.606 0.560 0.288 1
F8 0.394 0.440 0.712 1
F9 0.997 0.291 0.134 1
F10 0.003 0.709 0.866 1
F11 0.234 0.266 0.360 1
F12 0.766 0.734 0.640 1
O1 0.449 0.261 0.033 1
O2 0.551 0.739 0.967 1
O3 0.207 0.996 0.181 1
O4 0.793 0.004 0.819 1
P1 0.232 0.196 0.170 1
P2 0.768 0.804 0.830 1
Sb1 0.410 0.770 0.246 1
Sb2 0.590 0.230 0.754 1
```

***

Here is a relaxed structure of ZnCu from the Alexandria database. Energies are from PBEsol.

Computed properties:
Crystal system: hexagonal
Density of states at the Fermi level (states/eV per atom): 0.3730
Magnetic moment (μB per cell): 0.0
Energy of formation (meV/atom): -73
Space group: P-6m2

Geometry as CIF:
```
data_ZnCu
_cell_length_a 2.619
_cell_length_b 2.619
_cell_length_c 4.150
_cell_angle_alpha 90.00
_cell_angle_beta 90.00
_cell_angle_gamma 120.00
_symmetry_space_group_name_H-M 'P 1'
_symmetry_Int_Tables_number 1
loop_
_symmetry_equiv_pos_as_xyz
'x,y,z'
loop_
_atom_site_label
_atom_site_fract_x
_atom_site_fract_y
_atom_site_fract_z
_atom_site_occupancy
Zn1 0.667 0.333 0.500 1
Cu1 0.000 0.000 0.000 1
```

***

Here is a relaxed structure of IrSe2Br from the Alexandria database. Energies are from PBEsol.

Computed properties:
Crystal system: monoclinic
Density of states at the Fermi level (states/eV per atom): 0.3275
Raw formation energy (eV per atom): 0.05
Magnetic moment (μB per cell): 0.0
Polymorph energy (0 for the lowest one) (meV/atom): 288
Space group: Cm

Geometry as CIF:
```
data_IrSe2Br
_cell_length_a 3.486
_cell_length_b 4.806
_cell_length_c 6.544
_cell_angle_alpha 72.40
_cell_angle_beta 74.55
_cell_angle_gamma 68.74
_symmetry_space_group_name_H-M 'P 1'
_symmetry_Int_Tables_number 1
loop_
_symmetry_equiv_pos_as_xyz
'x,y,z'
loop_
_atom_site_label
_atom_site_fract_x
_atom_site_fract_y
_atom_site_fract_z
_atom_site_occupancy
Br1 0.586 0.387 0.441 1
Ir1 0.214 0.434 0.139 1
Se1 0.960 0.034 0.045 1
Se2 0.740 0.645 0.875 1
```